[1]
Entry from the Alexandria database: a geometry-optimized Li2TaMn structure (PBE-GGA).

abc: 4.902 4.902 5.316
angles: 110.68 110.68 32.10
Fractional coordinates of all 4 atoms:
Li 0.000 0.000 0.000
Li 0.244 0.244 0.929
Ta 0.474 0.474 0.479
Mn 0.731 0.731 0.444

Summary:
Space group   No. 8

***

[2]
Entry from the Alexandria database: a geometry-optimized LiTa2Mn structure (PBE-GGA).

abc: 5.060 5.060 5.060
angles: 136.99 136.99 62.46
Fractional coordinates of all 4 atoms:
Li 0.000 0.000 0.000
Ta 0.500 0.500 0.000
Ta 0.750 0.250 0.500
Mn 0.250 0.750 0.500

Summary:
Space group   No. 119

***

[3]
Entry from the Alexandria database: a geometry-optimized LiTaMn structure (PBE-GGA).

abc: 7.267 7.124 2.734
angles: 82.01 76.12 21.88
Fractional coordinates of all 3 atoms:
Li 0.000 0.000 0.000
Ta 0.315 0.315 0.685
Mn 0.666 0.666 0.334

Summary:
Space group   No. 42

***

[4]
Entry from the Alexandria database: a geometry-optimized LiTaMn structure (PBE-GGA).

abc: 4.308 4.308 2.588
angles: 90.00 90.00 120.00
Fractional coordinates of all 3 atoms:
Li 0.000 0.000 0.000
Ta 0.333 0.667 0.605
Mn 0.667 0.333 0.249

Summary:
Space group   No. 156

***

Number 1: offset from the most stable computed form 128 meV/atom, total magnetic moment 2.320 Bohr magnetons per cell, energy -5.813 eV per atom. Number 2: offset from the most stable computed form 236 meV/atom, total magnetic moment 0.396 Bohr magnetons per cell, energy -8.321 eV per atom. Number 3: offset from the most stable computed form 0 meV/atom, total magnetic moment 3.092 Bohr magnetons per cell, energy -7.287 eV per atom. Number 4: offset from the most stable computed form 4 meV/atom, total magnetic moment 0.000 Bohr magnetons per cell, energy -7.283 eV per atom.